Record 1
La2NdDy12: relaxed, GGA-PBE.

Calculated values
DOS(E_F) = 1.647 states/eV/atom
Total energy = -269.84 eV/cell
Formation enthalpy at 0 K = 0.159 eV/atom

a = 7.1015 Å, b = 11.3773 Å, c = 24.9726 Å
α = 90.00°, β = 90.00°, γ = 90.00°
Last column: nearest neighbours and their distance in Å.
Space group Cmme (No. 67)
Inequivalent atoms, fractional coordinates:
La: 0.0000 0.2500 0.2308 (multiplicity 4)  2 La 3.55, 10 Dy 3.66-3.98
La: 0.0000 0.2500 0.7694 (multiplicity 4)  2 La 3.55, 8 Dy 3.66-3.78
Nd: 0.0000 0.2500 0.5000 (multiplicity 4)  8 Dy 3.47-3.63, 2 Nd 3.55
Dy: 0.0000 0.9995 0.0619 (multiplicity 8)  7 Dy 3.09-3.40
Dy: 0.0000 0.0000 0.4207 (multiplicity 8)  2 Nd 3.47, 8 Dy 3.48-3.56
Dy: 0.2494 0.2500 0.0838 (multiplicity 8)  8 Dy 3.40-3.59
Dy: 0.2500 0.0000 0.1717 (multiplicity 8)  7 Dy 3.22-3.59
Dy: 0.2500 0.0000 0.3008 (multiplicity 8)  7 Dy 3.22-3.55
Dy: 0.2500 0.2500 0.3733 (multiplicity 8)  8 Dy 3.37-3.56, 2 Nd 3.63

=====

Record 2
La5NdDy: relaxed, GGA-PBE.

Calculated values
DOS(E_F) = 1.622 states/eV/atom
Total energy = -132.57 eV/cell
Formation enthalpy at 0 K = 0.124 eV/atom

a = 16.8677 Å, b = 6.8129 Å, c = 10.9659 Å
α = 90.00°, β = 126.47°, γ = 90.00°
Last column: nearest neighbours and their distance in Å.
Space group C2/c (No. 15)
Inequivalent atoms, fractional coordinates:
La: 0.0000 0.0154 0.2500 (multiplicity 4)  1 Nd 3.20, 4 La 3.42-3.50
La: 0.0898 0.2532 0.5928 (multiplicity 8)  6 La 3.38-3.74, 2 Nd 3.40-3.49, 1 Dy 3.41
La: 0.1753 0.2519 0.0909 (multiplicity 8)  5 La 3.38-3.74, 1 Nd 3.57
Nd: 0.0000 0.4857 0.2500 (multiplicity 4)  7 La 3.20-3.57
Dy: 0.2500 0.2500 0.5000 (multiplicity 4)  4 La 3.41-3.76, 2 Nd 3.76

=====

Record 3
LaNd7Dy4: relaxed, GGA-PBE.

Calculated values
DOS(E_F) = 1.346 states/eV/atom
Total energy = -56.67 eV/cell
Formation enthalpy at 0 K = 0.003 eV/atom

a = 6.3596 Å, b = 7.3464 Å, c = 9.0472 Å
α = 89.99°, β = 76.45°, γ = 90.00°
Last column: nearest neighbours and their distance in Å.
Space group P-1 (No. 2)
Inequivalent atoms, fractional coordinates:
La: 0.0000 0.0000 0.0000 (multiplicity 1)  10 Nd 3.64-3.69, 2 Dy 3.64
Nd: 0.0000 0.5000 0.0000 (multiplicity 1)  4 Dy 3.61-3.62, 6 Nd 3.63-3.66, 2 La 3.67
Nd: 0.2234 0.0000 0.3349 (multiplicity 2)  6 Nd 3.60-3.70, 5 Dy 3.61-3.70, 1 La 3.64
Nd: 0.2798 0.2524 0.6639 (multiplicity 2)  6 Dy 3.58-3.73, 5 Nd 3.60-3.70, 1 La 3.65
Nd: 0.4998 0.2536 0.0018 (multiplicity 2)  3 Dy 3.61-3.64, 7 Nd 3.62-3.73, 2 La 3.68-3.69
Dy: 0.2186 0.4999 0.3353 (multiplicity 2)  4 Dy 3.57-3.67, 8 Nd 3.58-3.67
Dy: 0.2777 0.7453 0.6654 (multiplicity 2)  3 Dy 3.58-3.67, 8 Nd 3.59-3.73, 1 La 3.64

=====

Record 4
La4Nd3Dy4: relaxed, GGA-PBE.

Calculated values
DOS(E_F) = 1.380 states/eV/atom
Total energy = -102.11 eV/cell
Formation enthalpy at 0 K = 0.124 eV/atom

a = 3.6332 Å, b = 9.5606 Å, c = 22.5572 Å
α = 90.00°, β = 90.00°, γ = 90.00°
Last column: nearest neighbours and their distance in Å.
Space group Immm (No. 71)
Inequivalent atoms, fractional coordinates:
La: 0.0000 0.1700 0.1462 (multiplicity 8)  3 La 3.25-3.63, 3 Dy 3.59
Nd: 0.0000 0.0000 0.3937 (multiplicity 4)  6 Dy 3.46-3.48, 2 Nd 3.63, 4 La 3.75
Nd: 0.0000 0.5000 0.5000 (multiplicity 2)  4 Dy 3.53, 2 Nd 3.63
Dy: 0.0000 0.3168 0.0000 (multiplicity 4)  6 Nd 3.48-3.53, 3 Dy 3.50-3.63, 2 La 3.59
Dy: 0.0000 0.5000 0.2369 (multiplicity 4)  2 Nd 3.46, 6 La 3.59-3.76, 2 Dy 3.63

=====

Record 5
La4Nd7Dy: relaxed, GGA-PBE.

Calculated values
DOS(E_F) = 1.382 states/eV/atom
Total energy = -57.47 eV/cell
Formation enthalpy at 0 K = 0.018 eV/atom

a = 6.4328 Å, b = 7.4288 Å, c = 9.2370 Å
α = 90.02°, β = 103.54°, γ = 90.01°
Last column: nearest neighbours and their distance in Å.
Space group P-1 (No. 2)
Inequivalent atoms, fractional coordinates:
La: 0.2224 0.2523 0.1704 (multiplicity 2)  1 Dy 3.65, 8 Nd 3.66-3.75, 3 La 3.70-3.74
La: 0.2755 0.9994 0.8318 (multiplicity 2)  8 Nd 3.67-3.74, 4 La 3.70-3.74
Nd: 0.0005 0.7479 0.4993 (multiplicity 2)  7 Nd 3.64-3.75, 3 La 3.66-3.68, 2 Dy 3.70-3.71
Nd: 0.2253 0.7471 0.1728 (multiplicity 2)  1 Dy 3.62, 5 Nd 3.64-3.75, 6 La 3.68-3.75
Nd: 0.2784 0.5000 0.8292 (multiplicity 2)  6 Nd 3.64-3.75, 1 Dy 3.65, 5 La 3.70-3.74
Nd: 0.5000 0.0000 0.5000 (multiplicity 1)  6 Nd 3.64-3.73, 4 La 3.66-3.68, 2 Dy 3.71
Dy: 0.5000 0.5000 0.5000 (multiplicity 1)  10 Nd 3.62-3.71, 2 La 3.65

=====

Record 6
La7Nd2Dy2: relaxed, GGA-PBE.

Calculated values
DOS(E_F) = 1.352 states/eV/atom
Total energy = -104.41 eV/cell
Formation enthalpy at 0 K = 0.093 eV/atom

a = 17.6771 Å, b = 12.0156 Å, c = 3.7514 Å
α = 90.00°, β = 97.67°, γ = 90.00°
Last column: nearest neighbours and their distance in Å.
Space group C2/m (No. 12)
Inequivalent atoms, fractional coordinates:
La: 0.0000 0.0000 0.0000 (multiplicity 2)  4 Dy 3.56, 2 La 3.75
La: 0.1013 0.5000 0.7492 (multiplicity 4)  5 La 3.52-3.81, 2 Dy 3.54, 2 Nd 3.81-3.94
La: 0.1641 0.2490 0.1753 (multiplicity 8)  2 Dy 3.29-3.59, 3 La 3.47-3.63, 2 Nd 3.54-3.68
Nd: 0.2055 0.0000 0.6644 (multiplicity 4)  8 La 3.54-3.94, 2 Nd 3.75
Dy: 0.0000 0.2515 0.5000 (multiplicity 4)  8 La 3.29-3.59

=====

Record 7
La8Nd3Dy: relaxed, GGA-PBE.

Calculated values
DOS(E_F) = 1.883 states/eV/atom
Total energy = -57.91 eV/cell
Formation enthalpy at 0 K = 0.035 eV/atom

a = 6.4934 Å, b = 8.8200 Å, c = 8.8446 Å
α = 78.94°, β = 68.50°, γ = 68.60°
Last column: nearest neighbours and their distance in Å.
Space group P1 (No. 1)
Inequivalent atoms, fractional coordinates:
La: 0.0000 0.0000 0.0000 (multiplicity 1)  7 La 3.68-3.76, 3 Nd 3.71-3.75, 2 Dy 3.73-3.76
La: 0.9997 0.3318 0.6695 (multiplicity 1)  3 Nd 3.67-3.76, 7 La 3.68-3.77, 2 Dy 3.73-3.75
La: 0.4169 0.2544 0.2439 (multiplicity 1)  1 Dy 3.66, 7 La 3.68-3.79, 4 Nd 3.69-3.77
La: 0.4175 0.5822 0.9160 (multiplicity 1)  7 La 3.68-3.79, 1 Dy 3.69, 4 Nd 3.69-3.78
La: 0.4975 0.4990 0.5013 (multiplicity 1)  7 La 3.68-3.77, 4 Nd 3.73-3.76, 1 Dy 3.74
La: 0.4972 0.8328 0.1682 (multiplicity 1)  7 La 3.70-3.76, 4 Nd 3.71-3.76, 1 Dy 3.75
La: 0.9134 0.7571 0.7473 (multiplicity 1)  1 Dy 3.65, 7 La 3.68-3.79, 4 Nd 3.69-3.78
La: 0.9143 0.0857 0.4194 (multiplicity 1)  7 La 3.68-3.79, 4 Nd 3.69-3.77, 1 Dy 3.69
Nd: 0.4217 0.9214 0.5826 (multiplicity 1)  1 Dy 3.65, 10 La 3.67-3.78, 1 Nd 3.68
Nd: 0.9243 0.4184 0.0805 (multiplicity 1)  1 Dy 3.66, 1 Nd 3.66, 10 La 3.68-3.78
Nd: 0.9951 0.6661 0.3346 (multiplicity 1)  2 Nd 3.66-3.68, 10 La 3.69-3.76
Dy: 0.4970 0.1663 0.8346 (multiplicity 1)  2 Nd 3.65-3.66, 10 La 3.65-3.76

=====

Record 8
La6Nd3Dy: relaxed, GGA-PBE.

Calculated values
DOS(E_F) = 1.791 states/eV/atom
Total energy = -92.35 eV/cell
Formation enthalpy at 0 K = 0.230 eV/atom

a = 11.3894 Å, b = 7.2820 Å, c = 9.0666 Å
α = 90.00°, β = 103.18°, γ = 90.00°
Last column: nearest neighbours and their distance in Å.
Space group C2/m (No. 12)
Inequivalent atoms, fractional coordinates:
La: 0.1581 0.0000 0.4916 (multiplicity 4)  2 Nd 3.39-3.73, 5 La 3.46-3.64
La: 0.2481 0.2222 0.1937 (multiplicity 8)  1 Nd 3.20, 4 La 3.24-3.55
Nd: 0.0000 0.5000 0.5000 (multiplicity 2)  10 La 3.86-4.07
Nd: 0.0443 0.0000 0.8462 (multiplicity 4)  1 Nd 3.17, 3 La 3.20-3.39
Dy: 0.0000 0.5000 0.0000 (multiplicity 2)  4 La 3.59, 4 Nd 3.97

=====

Among the records above, which one has the highest formation enthalpy at 0 K?
La6Nd3Dy

=====

Please write out number 5 again, unchanged.
La4Nd7Dy: relaxed, GGA-PBE.

Calculated values
DOS(E_F) = 1.382 states/eV/atom
Total energy = -57.47 eV/cell
Formation enthalpy at 0 K = 0.018 eV/atom

a = 6.4328 Å, b = 7.4288 Å, c = 9.2370 Å
α = 90.02°, β = 103.54°, γ = 90.01°
Last column: nearest neighbours and their distance in Å.
Space group P-1 (No. 2)
Inequivalent atoms, fractional coordinates:
La: 0.2224 0.2523 0.1704 (multiplicity 2)  1 Dy 3.65, 8 Nd 3.66-3.75, 3 La 3.70-3.74
La: 0.2755 0.9994 0.8318 (multiplicity 2)  8 Nd 3.67-3.74, 4 La 3.70-3.74
Nd: 0.0005 0.7479 0.4993 (multiplicity 2)  7 Nd 3.64-3.75, 3 La 3.66-3.68, 2 Dy 3.70-3.71
Nd: 0.2253 0.7471 0.1728 (multiplicity 2)  1 Dy 3.62, 5 Nd 3.64-3.75, 6 La 3.68-3.75
Nd: 0.2784 0.5000 0.8292 (multiplicity 2)  6 Nd 3.64-3.75, 1 Dy 3.65, 5 La 3.70-3.74
Nd: 0.5000 0.0000 0.5000 (multiplicity 1)  6 Nd 3.64-3.73, 4 La 3.66-3.68, 2 Dy 3.71
Dy: 0.5000 0.5000 0.5000 (multiplicity 1)  10 Nd 3.62-3.71, 2 La 3.65

=====

What is the formula in the third record?
LaNd7Dy4

=====

What is the formation enthalpy at 0 K in the sixth record?
0.093 eV/atom